[1]
NbIn3C: optimized geometry, GGA-PBE.

Energy   -3.602 eV per atom
Energy of formation from the pure elements   917 kJ/mol of formula units
Distance to the lowest polymorph of the same formula   0.7216 eV/atom
Symmetry   Pm-3m, No. 221
Total magnetic moment   0.4 Bohr magnetons per cell

Cell: 5.491 5.491 5.491 Å, 90.00 90.00 90.00°
Site moments in Bohr magnetons follow the coordinates.
Positions (direct):
Nb: 0.000 0.000 0.000  -1.37
C: 0.500 0.500 0.500  0.94
In: 0.000 0.500 0.000  -0.12
In: 0.000 0.000 0.500  -0.10
In: 0.500 0.000 0.000  -0.05



[2]
Nb2InC: optimized geometry, GGA-PBE.

Energy   -6.850 eV per atom
Energy of formation from the pure elements   454 kJ/mol of formula units
Distance to the lowest polymorph of the same formula   1.6039 eV/atom
Symmetry   Fm-3m, No. 225
Total magnetic moment   0.0 Bohr magnetons per cell

Cell: 4.495 4.495 4.495 Å, 60.00 60.00 60.00°
Positions (direct):
Nb: 0.250 0.250 0.250
Nb: 0.750 0.750 0.750
C: 0.000 0.000 0.000
In: 0.500 0.500 0.500



[3]
Nb2InC: optimized geometry, GGA-PBE.

Energy   -8.454 eV per atom
Energy of formation from the pure elements   -165 kJ/mol of formula units
Distance to the lowest polymorph of the same formula   0.0000 eV/atom
Symmetry   P6_3/mmc, No. 194
Total magnetic moment   0.0 Bohr magnetons per cell

Cell: 3.199 3.199 14.529 Å, 90.00 90.00 120.00°
Positions (direct):
Nb: 0.333 0.667 0.417
Nb: 0.667 0.333 0.583
Nb: 0.667 0.333 0.917
Nb: 0.333 0.667 0.083
In: 0.333 0.667 0.750
In: 0.667 0.333 0.250
C: 0.000 0.000 0.500
C: 0.000 0.000 0.000



[4]
Nb2InC: optimized geometry, GGA-PBE.

Energy   -8.452 eV per atom
Energy of formation from the pure elements   -164 kJ/mol of formula units
Distance to the lowest polymorph of the same formula   0.0027 eV/atom
Symmetry   R3m, No. 160
Total magnetic moment   0.0 Bohr magnetons per cell

Cell: 3.188 3.188 7.532 Å, 77.78 77.78 60.00°
Positions (direct):
Nb: 0.055 0.055 0.834
Nb: 0.278 0.278 0.165
In: 0.500 0.500 0.501
C: 0.667 0.667 0.000



[5]
Nb2In2C: optimized geometry, GGA-PBE.

Energy   -5.796 eV per atom
Energy of formation from the pure elements   566 kJ/mol of formula units
Distance to the lowest polymorph of the same formula   0.0000 eV/atom
Symmetry   P4/mbm, No. 127
Total magnetic moment   0.0 Bohr magnetons per cell

Cell: 6.234 6.234 4.821 Å, 90.00 90.00 90.00°
Positions (direct):
Nb: 0.153 0.653 0.500
Nb: 0.653 0.847 0.500
Nb: 0.847 0.347 0.500
Nb: 0.347 0.153 0.500
C: 0.000 0.000 0.000
C: 0.500 0.500 0.000
In: 0.341 0.841 0.000
In: 0.841 0.659 0.000
In: 0.659 0.159 0.000
In: 0.159 0.341 0.000



[6]
NbIn2C: optimized geometry, GGA-PBE.

Energy   -5.372 eV per atom
Energy of formation from the pure elements   317 kJ/mol of formula units
Symmetry   I-42d, No. 122
Total magnetic moment   0.0 Bohr magnetons per cell

Cell: 8.409 8.409 6.342 Å, 48.48 48.48 90.00°
Positions (direct):
Nb: 0.000 0.000 0.000
Nb: 0.750 0.250 0.500
C: 0.500 0.500 0.000
C: 0.250 0.750 0.500
In: 0.509 0.125 0.250
In: 0.241 0.625 0.250
In: 0.375 0.491 0.750
In: 0.875 0.759 0.750